one | # Pa2PO (PBE, relaxed)
# Space group: R-3m, No. 166
# Total moment in μB per formula unit: 0.1
data_Pa2PO
_chemical_formula_sum 'Pa6 P3 O3'
_cell_length_a 3.722
_cell_length_b 3.722
_cell_length_c 18.319
_cell_angle_alpha 90.00
_cell_angle_beta 90.00
_cell_angle_gamma 120.00
_space_group_name_H-M_alt 'P 1'
_space_group_IT_number 1
loop_
_space_group_symop_operation_xyz
'x,y,z'
loop_
_atom_site_label
_atom_site_type_symbol
_atom_site_fract_x
_atom_site_fract_y
_atom_site_fract_z
_atom_site_occupancy
Pa1 Pa 0.000 0.000 0.240 1
Pa2 Pa 0.000 0.000 0.760 1
Pa3 Pa 0.333 0.667 0.426 1
Pa4 Pa 0.333 0.667 0.907 1
Pa5 Pa 0.667 0.333 0.093 1
Pa6 Pa 0.667 0.333 0.574 1
P1 P 0.000 0.000 0.000 1
P2 P 0.333 0.667 0.667 1
P3 P 0.667 0.333 0.333 1
O1 O 0.000 0.000 0.500 1
O2 O 0.333 0.667 0.167 1
O3 O 0.667 0.333 0.833 1

---

two | # Pa2PO (PBE, relaxed)
# Space group: P4/mmm, No. 123
# Total moment in μB per formula unit: 1.4
data_Pa2PO
_chemical_formula_sum 'Pa2 P1 O1'
_cell_length_a 3.260
_cell_length_b 3.260
_cell_length_c 6.507
_cell_angle_alpha 90.00
_cell_angle_beta 90.00
_cell_angle_gamma 90.00
_space_group_name_H-M_alt 'P 1'
_space_group_IT_number 1
loop_
_space_group_symop_operation_xyz
'x,y,z'
loop_
_atom_site_label
_atom_site_type_symbol
_atom_site_fract_x
_atom_site_fract_y
_atom_site_fract_z
_atom_site_occupancy
Pa1 Pa 0.000 0.000 0.239 1
Pa2 Pa 0.000 0.000 0.761 1
P1 P 0.500 0.500 0.500 1
O1 O 0.500 0.500 0.000 1

---

Quick one: most stable of them? one

---

one | # P2Pb3O8 (PBE, relaxed)
# Space group: C2/c, No. 15
# Total moment in μB per formula unit: 0.0
data_P2Pb3O8
_chemical_formula_sum 'P4 Pb6 O16'
_cell_length_a 7.528
_cell_length_b 7.528
_cell_length_c 9.958
_cell_angle_alpha 92.77
_cell_angle_beta 92.77
_cell_angle_gamma 46.90
_space_group_name_H-M_alt 'P 1'
_space_group_IT_number 1
loop_
_space_group_symop_operation_xyz
'x,y,z'
loop_
_atom_site_label
_atom_site_type_symbol
_atom_site_fract_x
_atom_site_fract_y
_atom_site_fract_z
_atom_site_occupancy
P1 P 0.145 0.665 0.580 1
P2 P 0.335 0.855 0.920 1
P3 P 0.665 0.145 0.080 1
P4 P 0.855 0.335 0.420 1
Pb1 Pb 0.030 0.324 0.134 1
Pb2 Pb 0.324 0.030 0.634 1
Pb3 Pb 0.344 0.656 0.250 1
Pb4 Pb 0.656 0.344 0.750 1
Pb5 Pb 0.676 0.970 0.366 1
Pb6 Pb 0.970 0.676 0.866 1
O1 O 0.089 0.662 0.428 1
O2 O 0.104 0.143 0.346 1
O3 O 0.143 0.104 0.846 1
O4 O 0.275 0.694 0.903 1
O5 O 0.290 0.413 0.646 1
O6 O 0.306 0.725 0.597 1
O7 O 0.338 0.911 0.072 1
O8 O 0.413 0.290 0.146 1
O9 O 0.587 0.710 0.854 1
O10 O 0.662 0.089 0.928 1
O11 O 0.694 0.275 0.403 1
O12 O 0.710 0.587 0.354 1
O13 O 0.725 0.306 0.097 1
O14 O 0.857 0.896 0.154 1
O15 O 0.896 0.857 0.654 1
O16 O 0.911 0.338 0.572 1

---

two | # P2Pb3O8 (PBE, relaxed)
# Space group: C2/m, No. 12
# Total moment in μB per formula unit: 0.0
data_P2Pb3O8
_chemical_formula_sum 'P2 Pb3 O8'
_cell_length_a 5.544
_cell_length_b 5.544
_cell_length_c 7.494
_cell_angle_alpha 108.45
_cell_angle_beta 108.45
_cell_angle_gamma 66.69
_space_group_name_H-M_alt 'P 1'
_space_group_IT_number 1
loop_
_space_group_symop_operation_xyz
'x,y,z'
loop_
_atom_site_label
_atom_site_type_symbol
_atom_site_fract_x
_atom_site_fract_y
_atom_site_fract_z
_atom_site_occupancy
P1 P 0.105 0.105 0.299 1
P2 P 0.895 0.895 0.701 1
Pb1 Pb 0.253 0.253 0.851 1
Pb2 Pb 0.500 0.500 0.500 1
Pb3 Pb 0.747 0.747 0.149 1
O1 O 0.198 0.789 0.243 1
O2 O 0.207 0.207 0.518 1
O3 O 0.211 0.802 0.757 1
O4 O 0.218 0.218 0.190 1
O5 O 0.782 0.782 0.810 1
O6 O 0.789 0.198 0.243 1
O7 O 0.793 0.793 0.482 1
O8 O 0.802 0.211 0.757 1

---

Quick one: most stable of them? one

---

one | # P2PbO2 (PBE, relaxed)
# Space group: P4/mmm, No. 123
# Total moment in μB per formula unit: 0.9
data_P2PbO2
_chemical_formula_sum 'P2 Pb1 O2'
_cell_length_a 4.013
_cell_length_b 4.013
_cell_length_c 6.254
_cell_angle_alpha 90.00
_cell_angle_beta 90.00
_cell_angle_gamma 90.00
_space_group_name_H-M_alt 'P 1'
_space_group_IT_number 1
loop_
_space_group_symop_operation_xyz
'x,y,z'
loop_
_atom_site_label
_atom_site_type_symbol
_atom_site_fract_x
_atom_site_fract_y
_atom_site_fract_z
_atom_site_occupancy
P1 P 0.000 0.000 0.000 1
P2 P 0.500 0.500 0.000 1
Pb1 Pb 0.000 0.000 0.500 1
O1 O 0.000 0.500 0.500 1
O2 O 0.500 0.000 0.500 1

---

two | # P2PbO2 (PBE, relaxed)
# Space group: P4/mmm, No. 123
# Total moment in μB per formula unit: 0.3
data_P2PbO2
_chemical_formula_sum 'P2 Pb1 O2'
_cell_length_a 3.815
_cell_length_b 3.815
_cell_length_c 6.309
_cell_angle_alpha 90.00
_cell_angle_beta 90.00
_cell_angle_gamma 90.00
_space_group_name_H-M_alt 'P 1'
_space_group_IT_number 1
loop_
_space_group_symop_operation_xyz
'x,y,z'
loop_
_atom_site_label
_atom_site_type_symbol
_atom_site_fract_x
_atom_site_fract_y
_atom_site_fract_z
_atom_site_occupancy
P1 P 0.000 0.500 0.000 1
P2 P 0.500 0.000 0.000 1
Pb1 Pb 0.000 0.000 0.500 1
O1 O 0.500 0.500 0.000 1
O2 O 0.500 0.500 0.500 1

---

three | # P2PbO2 (PBE, relaxed)
# Space group: P4/mmm, No. 123
# Total moment in μB per formula unit: 0.0
data_P2PbO2
_chemical_formula_sum 'P2 Pb1 O2'
_cell_length_a 3.812
_cell_length_b 3.812
_cell_length_c 4.644
_cell_angle_alpha 90.00
_cell_angle_beta 90.00
_cell_angle_gamma 90.00
_space_group_name_H-M_alt 'P 1'
_space_group_IT_number 1
loop_
_space_group_symop_operation_xyz
'x,y,z'
loop_
_atom_site_label
_atom_site_type_symbol
_atom_site_fract_x
_atom_site_fract_y
_atom_site_fract_z
_atom_site_occupancy
P1 P 0.000 0.000 0.000 1
P2 P 0.000 0.000 0.500 1
Pb1 Pb 0.500 0.500 0.000 1
O1 O 0.000 0.500 0.500 1
O2 O 0.500 0.000 0.500 1

---

four | # P2PbO2 (PBE, relaxed)
# Space group: P4/mmm, No. 123
# Total moment in μB per formula unit: 0.0
data_P2PbO2
_chemical_formula_sum 'P2 Pb1 O2'
_cell_length_a 5.339
_cell_length_b 5.339
_cell_length_c 4.120
_cell_angle_alpha 90.00
_cell_angle_beta 90.00
_cell_angle_gamma 90.00
_space_group_name_H-M_alt 'P 1'
_space_group_IT_number 1
loop_
_space_group_symop_operation_xyz
'x,y,z'
loop_
_atom_site_label
_atom_site_type_symbol
_atom_site_fract_x
_atom_site_fract_y
_atom_site_fract_z
_atom_site_occupancy
P1 P 0.000 0.500 0.000 1
P2 P 0.500 0.000 0.000 1
Pb1 Pb 0.000 0.000 0.000 1
O1 O 0.000 0.000 0.500 1
O2 O 0.500 0.500 0.500 1

---

Quick one: most stable of them? three

---

one | # PPbO2 (PBE, relaxed)
# Space group: I4_1/amd, No. 141
# Total moment in μB per formula unit: 0.0
data_PPbO2
_chemical_formula_sum 'P4 Pb4 O8'
_cell_length_a 5.739
_cell_length_b 5.739
_cell_length_c 8.163
_cell_angle_alpha 90.00
_cell_angle_beta 90.00
_cell_angle_gamma 90.00
_space_group_name_H-M_alt 'P 1'
_space_group_IT_number 1
loop_
_space_group_symop_operation_xyz
'x,y,z'
loop_
_atom_site_label
_atom_site_type_symbol
_atom_site_fract_x
_atom_site_fract_y
_atom_site_fract_z
_atom_site_occupancy
P1 P 0.000 0.250 0.375 1
P2 P 0.000 0.750 0.625 1
P3 P 0.500 0.250 0.125 1
P4 P 0.500 0.750 0.875 1
Pb1 Pb 0.000 0.250 0.875 1
Pb2 Pb 0.000 0.750 0.125 1
Pb3 Pb 0.500 0.250 0.625 1
Pb4 Pb 0.500 0.750 0.375 1
O1 O 0.000 0.000 0.500 1
O2 O 0.000 0.500 0.500 1
O3 O 0.250 0.250 0.250 1
O4 O 0.250 0.750 0.750 1
O5 O 0.500 0.000 0.000 1
O6 O 0.500 0.500 0.000 1
O7 O 0.750 0.250 0.250 1
O8 O 0.750 0.750 0.750 1

---

two | # PPbO2 (PBE, relaxed)
# Space group: Fm-3m, No. 225
# Total moment in μB per formula unit: 0.0
data_PPbO2
_chemical_formula_sum 'P4 Pb4 O8'
_cell_length_a 6.055
_cell_length_b 6.055
_cell_length_c 6.055
_cell_angle_alpha 90.00
_cell_angle_beta 90.00
_cell_angle_gamma 90.00
_space_group_name_H-M_alt 'P 1'
_space_group_IT_number 1
loop_
_space_group_symop_operation_xyz
'x,y,z'
loop_
_atom_site_label
_atom_site_type_symbol
_atom_site_fract_x
_atom_site_fract_y
_atom_site_fract_z
_atom_site_occupancy
P1 P 0.000 0.000 0.000 1
P2 P 0.000 0.500 0.500 1
P3 P 0.500 0.000 0.500 1
P4 P 0.500 0.500 0.000 1
Pb1 Pb 0.000 0.000 0.500 1
Pb2 Pb 0.000 0.500 0.000 1
Pb3 Pb 0.500 0.000 0.000 1
Pb4 Pb 0.500 0.500 0.500 1
O1 O 0.250 0.250 0.250 1
O2 O 0.250 0.250 0.750 1
O3 O 0.250 0.750 0.250 1
O4 O 0.250 0.750 0.750 1
O5 O 0.750 0.250 0.250 1
O6 O 0.750 0.250 0.750 1
O7 O 0.750 0.750 0.250 1
O8 O 0.750 0.750 0.750 1

---

Quick one: most stable of them? one

---

one | # PPbO2 (PBE, relaxed)
# Space group: R-3m, No. 166
# Total moment in μB per formula unit: 0.0
data_PPbO2
_chemical_formula_sum 'P3 Pb3 O6'
_cell_length_a 3.239
_cell_length_b 3.239
_cell_length_c 20.925
_cell_angle_alpha 90.00
_cell_angle_beta 90.00
_cell_angle_gamma 120.00
_space_group_name_H-M_alt 'P 1'
_space_group_IT_number 1
loop_
_space_group_symop_operation_xyz
'x,y,z'
loop_
_atom_site_label
_atom_site_type_symbol
_atom_site_fract_x
_atom_site_fract_y
_atom_site_fract_z
_atom_site_occupancy
P1 P 0.000 0.000 0.000 1
P2 P 0.333 0.667 0.667 1
P3 P 0.667 0.333 0.333 1
Pb1 Pb 0.000 0.000 0.500 1
Pb2 Pb 0.333 0.667 0.167 1
Pb3 Pb 0.667 0.333 0.833 1
O1 O 0.000 0.000 0.076 1
O2 O 0.000 0.000 0.924 1
O3 O 0.333 0.667 0.591 1
O4 O 0.333 0.667 0.743 1
O5 O 0.667 0.333 0.257 1
O6 O 0.667 0.333 0.409 1

---

two | # PPbO2 (PBE, relaxed)
# Space group: R-3m, No. 166
# Total moment in μB per formula unit: 0.0
data_PPbO2
_chemical_formula_sum 'P3 Pb3 O6'
_cell_length_a 3.166
_cell_length_b 3.166
_cell_length_c 20.932
_cell_angle_alpha 90.00
_cell_angle_beta 90.00
_cell_angle_gamma 120.00
_space_group_name_H-M_alt 'P 1'
_space_group_IT_number 1
loop_
_space_group_symop_operation_xyz
'x,y,z'
loop_
_atom_site_label
_atom_site_type_symbol
_atom_site_fract_x
_atom_site_fract_y
_atom_site_fract_z
_atom_site_occupancy
P1 P 0.000 0.000 0.000 1
P2 P 0.333 0.667 0.667 1
P3 P 0.667 0.333 0.333 1
Pb1 Pb 0.000 0.000 0.500 1
Pb2 Pb 0.333 0.667 0.167 1
Pb3 Pb 0.667 0.333 0.833 1
O1 O 0.000 0.000 0.382 1
O2 O 0.000 0.000 0.618 1
O3 O 0.333 0.667 0.049 1
O4 O 0.333 0.667 0.285 1
O5 O 0.667 0.333 0.715 1
O6 O 0.667 0.333 0.951 1

---

Quick one: most stable of them? one

---

one | # PPb2O4 (PBE, relaxed)
# Space group: I-42m, No. 121
# Total moment in μB per formula unit: 0.0
data_PPb2O4
_chemical_formula_sum 'P2 Pb4 O8'
_cell_length_a 6.407
_cell_length_b 6.407
_cell_length_c 6.415
_cell_angle_alpha 90.00
_cell_angle_beta 90.00
_cell_angle_gamma 90.00
_space_group_name_H-M_alt 'P 1'
_space_group_IT_number 1
loop_
_space_group_symop_operation_xyz
'x,y,z'
loop_
_atom_site_label
_atom_site_type_symbol
_atom_site_fract_x
_atom_site_fract_y
_atom_site_fract_z
_atom_site_occupancy
P1 P 0.000 0.000 0.000 1
P2 P 0.500 0.500 0.500 1
Pb1 Pb 0.000 0.500 0.250 1
Pb2 Pb 0.000 0.500 0.750 1
Pb3 Pb 0.500 0.000 0.250 1
Pb4 Pb 0.500 0.000 0.750 1
O1 O 0.141 0.141 0.861 1
O2 O 0.141 0.859 0.139 1
O3 O 0.359 0.359 0.361 1
O4 O 0.359 0.641 0.639 1
O5 O 0.641 0.359 0.639 1
O6 O 0.641 0.641 0.361 1
O7 O 0.859 0.141 0.139 1
O8 O 0.859 0.859 0.861 1

---

two | # PPb2O4 (PBE, relaxed)
# Space group: Cm, No. 8
# Total moment in μB per formula unit: 0.0
data_PPb2O4
_chemical_formula_sum 'P2 Pb4 O8'
_cell_length_a 6.495
_cell_length_b 9.187
_cell_length_c 5.615
_cell_angle_alpha 90.00
_cell_angle_beta 124.89
_cell_angle_gamma 90.00
_space_group_name_H-M_alt 'P 1'
_space_group_IT_number 1
loop_
_space_group_symop_operation_xyz
'x,y,z'
loop_
_atom_site_label
_atom_site_type_symbol
_atom_site_fract_x
_atom_site_fract_y
_atom_site_fract_z
_atom_site_occupancy
P1 P 0.000 0.000 0.000 1
P2 P 0.500 0.500 0.000 1
Pb1 Pb 0.452 0.250 0.407 1
Pb2 Pb 0.452 0.750 0.407 1
Pb3 Pb 0.952 0.250 0.407 1
Pb4 Pb 0.952 0.750 0.407 1
O1 O 0.295 0.000 0.194 1
O2 O 0.398 0.500 0.196 1
O3 O 0.410 0.357 0.819 1
O4 O 0.410 0.643 0.819 1
O5 O 0.795 0.500 0.194 1
O6 O 0.898 0.000 0.196 1
O7 O 0.910 0.143 0.819 1
O8 O 0.910 0.857 0.819 1

---

Quick one: most stable of them? one